1.
A plane-wave DFT calculation with PBE was carried out for crystalline Cs8Na6Tl at its relaxed geometry.

Symmetry ... R-3m, No. 166
Total DFT energy (no corrections) ... -1.12 eV/atom
Energy of formation from the pure elements ... 0.0186 eV per atom
Crystal system ... trigonal

Unit cell a=10.3404 b=10.3404 c=10.3404 alpha=82.29 beta=82.29 gamma=82.29
With the nearest neighbours (Å) after each atom.
Sites, in units of the cell vectors:
Cs  0.3100  0.9319  0.3103  5 Na 4.35-4.61, 1 Tl 4.76
Cs  0.6897  0.6900  0.0681  5 Na 4.35-4.61, 1 Tl 4.76
Cs  0.0681  0.6897  0.6900  5 Na 4.35-4.61, 1 Tl 4.76
Cs  0.3797  0.3797  0.3797  3 Na 4.73, 4 Cs 4.85-4.94
Cs  0.6203  0.6203  0.6203  3 Na 4.73, 4 Cs 4.85-4.94
Cs  0.9319  0.3103  0.3100  5 Na 4.35-4.61, 1 Tl 4.76
Cs  0.3103  0.3100  0.9319  5 Na 4.35-4.61, 1 Tl 4.76
Cs  0.6900  0.0681  0.6897  5 Na 4.35-4.61, 1 Tl 4.76
Na  0.3181  0.8865  0.8869  1 Tl 3.44, 2 Na 3.60
Na  0.1131  0.6819  0.1135  1 Tl 3.44, 2 Na 3.60
Na  0.1135  0.1131  0.6819  1 Tl 3.44, 2 Na 3.60
Na  0.8865  0.8869  0.3181  1 Tl 3.44, 2 Na 3.60
Na  0.8869  0.3181  0.8865  1 Tl 3.44, 2 Na 3.60
Na  0.6819  0.1135  0.1131  1 Tl 3.44, 2 Na 3.60
Tl  0.0000  0.0000  0.0000  6 Na 3.44

***

2.
A plane-wave DFT calculation with PBE was carried out for crystalline Cs2NaTl7 at its relaxed geometry.

Symmetry ... P-4m2, No. 115
Total DFT energy (no corrections) ... -2.03 eV/atom
Energy of formation from the pure elements ... -0.0699 eV per atom
Crystal system ... tetragonal

Unit cell a=5.5072 b=5.5072 c=12.7146 alpha=90.00 beta=90.00 gamma=90.00
With the nearest neighbours (Å) after each atom.
Sites, in units of the cell vectors:
Cs  0.5000  0.0000  0.7473  14 Tl 4.17-4.23, 2 Na 4.23
Cs  0.0000  0.5000  0.2527  14 Tl 4.17-4.23, 2 Na 4.23
Na  0.5000  0.5000  0.0000  4 Tl 3.18
Tl  0.0000  0.5000  0.8753  3 Tl 3.12-3.18, 2 Na 3.18
Tl  0.5000  0.0000  0.3704  5 Tl 3.12-3.21
Tl  0.5000  0.0000  0.1247  3 Tl 3.12-3.18, 2 Na 3.18
Tl  0.0000  0.5000  0.6296  5 Tl 3.12-3.21
Tl  0.0000  0.0000  0.5000  4 Tl 3.21
Tl  0.0000  0.0000  0.0000  4 Tl 3.18
Tl  0.5000  0.5000  0.5000  4 Tl 3.21

***

3.
A plane-wave DFT calculation with PBE was carried out for crystalline Cs2Na4Tl3 at its relaxed geometry.

Symmetry ... Fmmm, No. 69
Total DFT energy (no corrections) ... -1.61 eV/atom
Energy of formation from the pure elements ... -0.0406 eV per atom
Crystal system ... orthorhombic

Unit cell a=6.8555 b=7.0850 c=9.4157 alpha=79.86 beta=68.65 gamma=61.07
With the nearest neighbours (Å) after each atom.
Sites, in units of the cell vectors:
Cs  0.6226  0.0000  0.7548  6 Tl 4.05-4.14, 8 Na 4.09-4.38, 1 Cs 4.30
Cs  0.3774  0.0000  0.2452  6 Tl 4.05-4.14, 8 Na 4.09-4.38, 1 Cs 4.30
Na  0.0134  0.6543  0.3189  3 Tl 3.42-3.52, 1 Na 3.71
Na  0.6677  0.3457  0.3189  3 Tl 3.42-3.52, 1 Na 3.71
Na  0.9866  0.3457  0.6811  3 Tl 3.42-3.52, 1 Na 3.71
Na  0.3323  0.6543  0.6811  3 Tl 3.42-3.52, 1 Na 3.71
Tl  0.0000  0.5000  0.0000  4 Na 3.42, 4 Tl 3.43-3.54
Tl  0.0000  0.0000  0.0000  4 Na 3.52, 4 Tl 3.54
Tl  0.5000  0.5000  0.0000  4 Na 3.42, 4 Tl 3.43-3.54

***

4.
A plane-wave DFT calculation with PBE was carried out for crystalline Cs2Na6Tl at its relaxed geometry.

Symmetry ... C2/m, No. 12
Total DFT energy (no corrections) ... -1.33 eV/atom
Energy relative to the lowest polymorph listed for this composition ... 0 meV/atom
Energy of formation from the pure elements ... 0.0015 eV per atom
Crystal system ... monoclinic

Unit cell a=7.9221 b=7.9851 c=8.0084 alpha=76.68 beta=90.00 gamma=119.74
With the nearest neighbours (Å) after each atom.
Sites, in units of the cell vectors:
Cs  0.6412  0.2824  0.1487  9 Na 4.15-4.32
Cs  0.3588  0.7176  0.8513  9 Na 4.15-4.32
Na  0.8931  0.2679  0.6800  1 Tl 3.34, 2 Na 3.60-3.71
Na  0.8891  0.7782  0.6894  1 Tl 3.25, 2 Na 3.60
Na  0.3747  0.2679  0.6800  1 Tl 3.34, 2 Na 3.60-3.71
Na  0.1069  0.7321  0.3200  1 Tl 3.34, 2 Na 3.60-3.71
Na  0.1109  0.2218  0.3106  1 Tl 3.25, 2 Na 3.60
Na  0.6253  0.7321  0.3200  1 Tl 3.34, 2 Na 3.60-3.71
Tl  0.0000  0.0000  0.0000  6 Na 3.25-3.34

***

5.
A plane-wave DFT calculation with PBE was carried out for crystalline CsNa4Tl at its relaxed geometry.

Symmetry ... C2/m, No. 12
Total DFT energy (no corrections) ... -1.42 eV/atom
Energy of formation from the pure elements ... -0.0048 eV per atom
Crystal system ... monoclinic

Unit cell a=7.3263 b=8.6563 c=9.8914 alpha=115.95 beta=109.37 gamma=90.00
With the nearest neighbours (Å) after each atom.
Sites, in units of the cell vectors:
Cs  0.8654  0.7791  0.5582  1 Tl 4.09, 10 Na 4.11-4.57
Cs  0.1346  0.2209  0.4418  1 Tl 4.09, 10 Na 4.11-4.57
Na  0.2393  0.6549  0.3098  2 Tl 3.44-3.52, 4 Na 3.61-3.71
Na  0.4672  0.1024  0.8004  2 Tl 3.39-3.57, 4 Na 3.40-3.71
Na  0.0000  0.2183  0.0000  2 Tl 3.31, 4 Na 3.61-3.65
Na  0.5328  0.3021  0.1996  2 Tl 3.39-3.57, 4 Na 3.40-3.71
Na  0.7607  0.3451  0.6902  2 Tl 3.44-3.52, 4 Na 3.61-3.71
Na  0.5328  0.8976  0.1996  2 Tl 3.39-3.57, 4 Na 3.40-3.71
Na  0.0000  0.7817  0.0000  2 Tl 3.31, 4 Na 3.61-3.65
Na  0.4672  0.6979  0.8004  2 Tl 3.39-3.57, 4 Na 3.40-3.71
Tl  0.2642  0.4653  0.9306  1 Tl 3.21, 8 Na 3.31-3.57
Tl  0.7358  0.5347  0.0694  1 Tl 3.21, 8 Na 3.31-3.57

***

6.
A plane-wave DFT calculation with PBE was carried out for crystalline Cs2Na12Tl5 at its relaxed geometry.

Symmetry ... R-3m, No. 166
Total DFT energy (no corrections) ... -1.61 eV/atom
Energy of formation from the pure elements ... -0.0611 eV per atom
Crystal system ... trigonal

Unit cell a=8.9541 b=8.9541 c=8.9541 alpha=84.51 beta=84.51 gamma=84.51
With the nearest neighbours (Å) after each atom.
Sites, in units of the cell vectors:
Cs  0.6551  0.6551  0.6551  12 Na 4.08-4.47, 1 Tl 4.20
Cs  0.3449  0.3449  0.3449  12 Na 4.08-4.47, 1 Tl 4.20
Na  0.2754  0.7246  0.0000  6 Na 3.32-3.68, 4 Tl 3.33-3.70
Na  0.7246  0.0000  0.2754  6 Na 3.32-3.68, 4 Tl 3.33-3.70
Na  0.0000  0.2754  0.7246  6 Na 3.32-3.68, 4 Tl 3.33-3.70
Na  0.7246  0.2754  0.0000  6 Na 3.32-3.68, 4 Tl 3.33-3.70
Na  0.2754  0.0000  0.7246  6 Na 3.32-3.68, 4 Tl 3.33-3.70
Na  0.0000  0.7246  0.2754  6 Na 3.32-3.68, 4 Tl 3.33-3.70
Na  0.3363  0.3363  0.8909  3 Tl 3.32-3.46, 4 Na 3.59-3.68
Na  0.3363  0.8909  0.3363  3 Tl 3.32-3.46, 4 Na 3.59-3.68
Na  0.8909  0.3363  0.3363  3 Tl 3.32-3.46, 4 Na 3.59-3.68
Na  0.6637  0.1091  0.6637  3 Tl 3.32-3.46, 4 Na 3.59-3.68
Na  0.6637  0.6637  0.1091  3 Tl 3.32-3.46, 4 Na 3.59-3.68
Na  0.1091  0.6637  0.6637  3 Tl 3.32-3.46, 4 Na 3.59-3.68
Tl  0.0000  0.0000  0.5000  8 Na 3.32-3.33, 2 Tl 3.67
Tl  0.0000  0.5000  0.0000  8 Na 3.32-3.33, 2 Tl 3.67
Tl  0.5000  0.0000  0.0000  8 Na 3.32-3.33, 2 Tl 3.67
Tl  0.9035  0.9035  0.9035  1 Tl 3.27, 3 Na 3.46
Tl  0.0965  0.0965  0.0965  1 Tl 3.27, 3 Na 3.46

***

> Which of these has the highest energy of formation from the pure elements?

Cs8Na6Tl